Below is a geometry-optimized Ag2TePd structure, with properties calculated at the PBE-GGA level.

The total magnetization comes out at 0.0 μB/f.u. The calculation puts the density of states at the Fermi level at 0.894 states/eV/f.u. For the formation energy (no corrections), the calculation gives 0.30 eV/f.u. For the total energy, the calculation gives -3.4341 eV per atom.

The space group is I-42d (No. 122) and the conventional cell measures 7.859, 7.859 and 5.465 Å, with angles of 90.00, 90.00 and 90.00 degrees. The distinct sites, in fractional coordinates, are Ag at (0.241, 0.250, 0.125), Te at (0.000, 0.000, 0.500) and Pd at (0.000, 0.000, 0.000).